Ba2HoCoO5 | GGA+U | relaxed

Lattice parameters (Å, degrees): 7.6474 7.6474 11.8354 90.00 90.00 153.16
Closest atoms and distances in Å follow each position.
Element x y z (fractional)
1 Ba 0.0985 0.9015 0.5000  6 O 2.66-2.84
2 Ba 0.1427 0.8573 0.1765  7 O 2.73-2.89
3 Ba 0.8573 0.1427 0.6765  7 O 2.73-2.89
4 Ba 0.9015 0.0985 0.0000  6 O 2.66-2.84
5 Ho 0.2000 0.8000 0.8842  5 O 2.15-2.36
6 Ho 0.8000 0.2000 0.3842  5 O 2.15-2.36
7 Co 0.4445 0.5555 0.2620  4 O 1.81-2.00
8 Co 0.5555 0.4445 0.7620  4 O 1.81-2.00
9 O 0.0401 0.9599 0.8372  2 Co 2.00
10 O 0.2892 0.7108 0.5035  2 Ho 2.27
11 O 0.3199 0.6801 0.2550  1 Co 1.86
12 O 0.3417 0.6583 0.8506  1 Ho 2.15
13 O 0.4946 0.5054 0.6300  1 Co 1.81
14 O 0.5054 0.4946 0.1300  1 Co 1.81
15 O 0.6583 0.3417 0.3506  1 Ho 2.15
16 O 0.6801 0.3199 0.7550  1 Co 1.86
17 O 0.7108 0.2892 0.0035  2 Ho 2.27
18 O 0.9599 0.0401 0.3372  2 Co 2.00

Computed properties:
Raw total energy in eV/cell: -119.83